[1]
Computed, not measured: Sr4SbOs after structural relaxation at the PBE-GGA level of DFT.

abc: 6.488 6.488 6.488
angles: 60.00 60.00 60.00
Each line ends with the local moment (μB).
Fractional coordinates of all 6 atoms:
Sr (0.874, 0.375, 0.375)  -0.04
Sr (0.375, 0.375, 0.874)  -0.04
Sr (0.375, 0.874, 0.375)  -0.04
Sr (0.375, 0.375, 0.375)  -0.04
Sb (0.000, 0.000, 0.000)  0.05
Os (0.750, 0.750, 0.750)  1.16

**Volume**: 193.1 Å³ per cell
**DOS at the Fermi energy**: 6.5 states/eV per cell
**Energy relative to the elements, uncorrected**: 0.93 eV per atom
**M_tot**: 0.139 μB per atom
**Uncorrected energy**: -2.75 eV/atom

=====

[2]
Computed, not measured: Sr2SbTeOs after structural relaxation at the PBE-GGA level of DFT.

abc: 5.911 4.928 5.911
angles: 90.00 90.00 90.00
Fractional coordinates of all 5 atoms:
Sb (0.000, 0.500, 0.000)
Te (0.500, 0.500, 0.500)
Os (0.000, 0.000, 0.000)
Sr (0.000, 0.000, 0.500)
Sr (0.500, 0.000, 0.000)

**Volume**: 172.2 Å³ per cell
**DOS at the Fermi energy**: 2.5 states/eV per cell
**Energy relative to the elements, uncorrected**: -0.33 eV per atom
**M_tot**: 0.000 μB per atom
**Uncorrected energy**: -4.71 eV/atom

=====

[3]
Computed, not measured: SrTiSb2Os after structural relaxation at the PBE-GGA level of DFT.

abc: 5.298 4.711 5.298
angles: 90.00 90.00 90.00
Fractional coordinates of all 5 atoms:
Sb (0.000, 0.000, 0.500)
Sb (0.500, 0.000, 0.000)
Ti (0.000, 0.000, 0.000)
Os (0.000, 0.500, 0.000)
Sr (0.500, 0.500, 0.500)

**Volume**: 132.3 Å³ per cell
**DOS at the Fermi energy**: 4.4 states/eV per cell
**Energy relative to the elements, uncorrected**: 0.25 eV per atom
**M_tot**: 0.000 μB per atom
**Uncorrected energy**: -5.56 eV/atom

=====

[4]
Computed, not measured: Sr2SbOsW after structural relaxation at the PBE-GGA level of DFT.

abc: 5.841 4.979 5.841
angles: 90.00 90.00 90.00
Each line ends with the local moment (μB).
Fractional coordinates of all 5 atoms:
Sb (0.000, 0.500, 0.000)  -0.03
Os (0.000, 0.000, 0.000)  0.10
W (0.500, 0.500, 0.500)  3.23
Sr (0.000, 0.000, 0.500)  0.02
Sr (0.500, 0.000, 0.000)  0.02

**Volume**: 169.9 Å³ per cell
**DOS at the Fermi energy**: 4.0 states/eV per cell
**Energy relative to the elements, uncorrected**: 1.19 eV per atom
**M_tot**: 0.944 μB per atom
**Uncorrected energy**: -5.14 eV/atom

=====

[5]
Computed, not measured: Ta2SbOs after structural relaxation at the PBE-GGA level of DFT.

abc: 5.411 5.411 5.411
angles: 142.37 131.97 62.57
Fractional coordinates of all 4 atoms:
Os (0.502, 0.502, 0.000)
Sb (0.261, 0.761, 0.500)
Ta (0.998, 0.998, 0.000)
Ta (0.739, 0.239, 0.500)

**Volume**: 71.1 Å³ per cell
**DOS at the Fermi energy**: 3.7 states/eV per cell
**Energy relative to the elements, uncorrected**: 0.12 eV per atom
**M_tot**: 0.000 μB per atom
**Uncorrected energy**: -9.65 eV/atom

=====

[6]
Computed, not measured: TaSbOs2 after structural relaxation at the PBE-GGA level of DFT.

abc: 9.224 9.224 9.224
angles: 18.34 18.34 18.34
Fractional coordinates of all 4 atoms:
Os (0.996, 0.996, 0.996)
Os (0.253, 0.253, 0.253)
Sb (0.503, 0.503, 0.503)
Ta (0.747, 0.747, 0.747)

**Volume**: 67.8 Å³ per cell
**DOS at the Fermi energy**: 1.5 states/eV per cell
**Energy relative to the elements, uncorrected**: 0.42 eV per atom
**M_tot**: 0.000 μB per atom
**Uncorrected energy**: -9.18 eV/atom

=====

[7]
Computed, not measured: TaSbOs after structural relaxation at the PBE-GGA level of DFT.

abc: 6.195 6.195 3.136
angles: 75.34 75.34 29.33
Fractional coordinates of all 3 atoms:
Os (0.981, 0.981, 0.019)
Sb (0.663, 0.663, 0.337)
Ta (0.355, 0.355, 0.645)

**Volume**: 56.9 Å³ per cell
**DOS at the Fermi energy**: 2.7 states/eV per cell
**Energy relative to the elements, uncorrected**: 0.20 eV per atom
**M_tot**: 0.000 μB per atom
**Uncorrected energy**: -8.87 eV/atom

=====

[8]
Computed, not measured: Ta2SbOs after structural relaxation at the PBE-GGA level of DFT.

abc: 9.215 9.215 9.215
angles: 19.09 19.09 19.09
Fractional coordinates of all 4 atoms:
Os (0.250, 0.250, 0.250)
Sb (0.750, 0.750, 0.750)
Ta (0.994, 0.994, 0.994)
Ta (0.506, 0.506, 0.506)

**Volume**: 73.2 Å³ per cell
**DOS at the Fermi energy**: 3.4 states/eV per cell
**Energy relative to the elements, uncorrected**: 0.25 eV per atom
**M_tot**: 0.000 μB per atom
**Uncorrected energy**: -9.51 eV/atom

=====

[9]
Computed, not measured: Ta2SbOs after structural relaxation at the PBE-GGA level of DFT.

abc: 4.003 3.167 6.010
angles: 74.74 90.00 90.00
Fractional coordinates of all 4 atoms:
Os (0.000, 0.707, 0.461)
Sb (0.500, 0.551, 0.772)
Ta (0.000, 0.942, 0.992)
Ta (0.500, 0.300, 0.276)

**Volume**: 73.5 Å³ per cell
**DOS at the Fermi energy**: 1.8 states/eV per cell
**Energy relative to the elements, uncorrected**: 0.07 eV per atom
**M_tot**: 0.000 μB per atom
**Uncorrected energy**: -9.70 eV/atom

=====

[10]
Computed, not measured: TaSbOs2 after structural relaxation at the PBE-GGA level of DFT.

abc: 5.417 5.417 5.417
angles: 145.70 130.73 61.41
Fractional coordinates of all 4 atoms:
Os (0.007, 0.007, 0.000)
Os (0.734, 0.234, 0.500)
Sb (0.505, 0.505, 0.000)
Ta (0.254, 0.754, 0.500)

**Volume**: 67.2 Å³ per cell
**DOS at the Fermi energy**: 3.4 states/eV per cell
**Energy relative to the elements, uncorrected**: 0.33 eV per atom
**M_tot**: 0.000 μB per atom
**Uncorrected energy**: -9.28 eV/atom

=====

[11]
Computed, not measured: TaSbOs2 after structural relaxation at the PBE-GGA level of DFT.

abc: 4.687 4.687 3.100
angles: 90.00 90.00 101.09
Fractional coordinates of all 4 atoms:
Os (0.000, 0.000, 0.000)
Os (0.500, 0.500, 0.000)
Sb (0.500, 0.000, 0.500)
Ta (0.000, 0.500, 0.500)

**Volume**: 66.8 Å³ per cell
**DOS at the Fermi energy**: 2.5 states/eV per cell
**Energy relative to the elements, uncorrected**: 0.22 eV per atom
**M_tot**: 0.000 μB per atom
**Uncorrected energy**: -9.38 eV/atom

=====

[12]
Computed, not measured: TaSbOs2 after structural relaxation at the PBE-GGA level of DFT.

abc: 5.841 5.841 7.199
angles: 66.07 66.07 90.00
Fractional coordinates of all 8 atoms:
Sb (0.500, 0.500, 0.000)
Sb (0.250, 0.750, 0.500)
Os (0.635, 0.125, 0.250)
Os (0.115, 0.625, 0.250)
Os (0.375, 0.365, 0.750)
Os (0.875, 0.885, 0.750)
Ta (0.000, 0.000, 0.000)
Ta (0.750, 0.250, 0.500)

**Volume**: 201.2 Å³ per cell
**DOS at the Fermi energy**: 5.6 states/eV per cell
**Energy relative to the elements, uncorrected**: 1.03 eV per atom
**M_tot**: 0.000 μB per atom
**Uncorrected energy**: -8.58 eV/atom

=====

[13]
Computed, not measured: Ta2SbOs after structural relaxation at the PBE-GGA level of DFT.

abc: 4.713 4.713 3.233
angles: 90.00 90.00 90.00
Fractional coordinates of all 4 atoms:
Os (0.500, 0.000, 0.500)
Sb (0.000, 0.500, 0.500)
Ta (0.000, 0.000, 0.000)
Ta (0.500, 0.500, 0.000)

**Volume**: 71.8 Å³ per cell
**DOS at the Fermi energy**: 5.0 states/eV per cell
**Energy relative to the elements, uncorrected**: 0.30 eV per atom
**M_tot**: 0.000 μB per atom
**Uncorrected energy**: -9.47 eV/atom

=====

[14]
Computed, not measured: Ta2SbOs after structural relaxation at the PBE-GGA level of DFT.

abc: 6.515 4.908 3.128
angles: 90.18 60.99 120.61
Fractional coordinates of all 4 atoms:
Os (0.000, 0.500, 0.500)
Sb (0.500, 0.500, 0.000)
Ta (0.000, 0.000, 0.000)
Ta (0.500, 0.000, 0.500)

**Volume**: 71.2 Å³ per cell
**DOS at the Fermi energy**: 2.8 states/eV per cell
**Energy relative to the elements, uncorrected**: 0.14 eV per atom
**M_tot**: 0.000 μB per atom
**Uncorrected energy**: -9.62 eV/atom

=====

[15]
Computed, not measured: TaSbOs2 after structural relaxation at the PBE-GGA level of DFT.

abc: 5.128 5.128 5.128
angles: 135.03 135.03 65.49
Fractional coordinates of all 4 atoms:
Os (0.000, 0.000, 0.000)
Os (0.250, 0.750, 0.500)
Sb (0.500, 0.500, 0.000)
Ta (0.750, 0.250, 0.500)

**Volume**: 66.4 Å³ per cell
**DOS at the Fermi energy**: 3.6 states/eV per cell
**Energy relative to the elements, uncorrected**: 0.27 eV per atom
**M_tot**: 0.000 μB per atom
**Uncorrected energy**: -9.34 eV/atom